(1)
## ScNbH3 (PBE)

Data for crystalline ScNbH3 at its relaxed geometry.

The structure in POSCAR format:
```
ScNbH3
1.0
3.6172 0.0000 0.0000
0.0000 3.6172 0.0000
0.0000 0.0000 3.6172
Sc H Nb
1 3 1
direct
0.0000 0.0000 0.0000
0.0000 0.5000 0.0000
0.0000 0.0000 0.5000
0.5000 0.0000 0.0000
0.5000 0.5000 0.5000
```

=====

(2)
TlRhOF2 (PBE, optimized geometry); E_form (uncorrected) = -0.312 eV per atom
1.0
4.5135 0.0000 0.0000
0.0000 4.5135 0.0000
0.0000 0.0000 4.1859
Tl Rh O F
1 1 1 2
direct
0.0000 0.0000 0.0000
0.5000 0.5000 0.5000
0.0000 0.0000 0.5000
0.0000 0.5000 0.0000
0.5000 0.0000 0.0000

=====

(3)
CeHf2Mo (PBE, optimized geometry); E_form = 44 meV/atom
1.0
-1.9244 -2.6363 0.7000
1.3462 -0.1729 3.0498
-5.6799 4.8854 2.7842
Mo Hf Ce
1 2 1
direct
0.5000 0.5000 0.0000
0.0000 0.0000 0.8032
0.0000 0.0000 0.1968
0.5000 0.5000 0.5000

=====

(4)
## VZnHRh2 (PBE)

Data for crystalline VZnHRh2 at its relaxed geometry.

The structure in POSCAR format:
```
VZnHRh2
1.0
3.9727 0.0000 0.0000
0.0000 3.9727 0.0000
0.0000 0.0000 3.7121
H Zn Rh V
1 1 2 1
direct
0.0000 0.0000 0.0000
0.5000 0.5000 0.5000
0.0000 0.5000 0.0000
0.5000 0.0000 0.0000
0.0000 0.0000 0.5000
```

=====

(5)
NaCo2Pb2 (PBE, optimized geometry); E_form = 204 meV/atom
1.0
3.4213 0.0000 0.0000
0.0000 3.4213 0.0000
1.7107 1.7107 9.2989
Pb Na Co
2 1 2
direct
0.3688 0.3688 0.2624
0.6312 0.6312 0.7376
0.0000 0.0000 0.0000
0.7500 0.2500 0.5000
0.2500 0.7500 0.5000

=====

(6)
Y3MgFe (PBE, optimized geometry); E_form = 77 meV/atom
1.0
-1.8050 0.4512 4.8774
-4.8782 -0.6342 -1.7467
0.4416 -5.1618 0.6409
Y Mg Fe
3 1 1
direct
0.0000 0.5000 0.0000
0.0000 0.0000 0.5000
0.5000 0.0000 0.0000
0.5000 0.5000 0.5000
0.0000 0.0000 0.0000

=====

Sequential electronic total energy output: -5.18; -4.00; -9.12; -5.89; -4.39; -5.81 eV per atom